The following is a DFT calculation (GGA-PBE) of BeTe after structural relaxation.

Computed properties:
Its symmetry is No. 194. The size of the total moment is 0.00 Bohr magnetons per cell. The raw formation energy comes out at 1.7 eV/f.u. The value obtained for the total energy is -20.85 eV/cell. The polymorph energy (0 for the lowest one) is 1193 meV/atom.

a b c (Å): 5.5621 5.5621 6.7685
angles (deg): 90.00 90.00 120.00
Sites, in units of the cell vectors:
Be1 0.3333 0.6667 0.1039
Be2 0.3333 0.6667 0.3961
Be3 0.6667 0.3333 0.6039
Be4 0.6667 0.3333 0.8961
Te1 0.0000 0.0000 0.2500
Te2 0.0000 0.0000 0.7500
Te3 0.3333 0.6667 0.7500
Te4 0.6667 0.3333 0.2500